# DyHoGa2Pd4 | the Open Quantum Materials Database | PBE | relaxed
data_DyHoGa2Pd4
_chemical_formula_sum 'Dy1 Ho1 Ga2 Pd4'
_cell_length_a 4.678
_cell_length_b 4.678
_cell_length_c 6.621
_cell_angle_alpha 90.00
_cell_angle_beta 90.00
_cell_angle_gamma 90.00
_symmetry_space_group_name_H-M 'P 4/m m m'
_symmetry_Int_Tables_number 123
_symmetry_space_group_name_Hall '-P 4 2'
loop_
_atom_site_label
_atom_site_fract_x
_atom_site_fract_y
_atom_site_fract_z
Dy1 0.000 0.000 0.000
Ho1 0.500 0.500 0.500
Ga1 0.000 0.000 0.500
Ga2 0.500 0.500 0.000
Pd1 0.000 0.500 0.251
# distance to the lowest polymorph of the same formula	80	meV/atom
# final energy	-5.312	eV/atom